# Y2Be2FeSi2O10 (PBE+U, relaxed)
data_Y2Be2FeSi2O10
_chemical_formula_sum 'Y4 Be4 Fe2 Si4 O20'
_space_group_name_H-M_alt 'P 1 21/c 1'
_space_group_IT_number 14
_cell_length_a 4.792
_cell_length_b 7.568
_cell_length_c 10.041
_cell_angle_alpha 90.00
_cell_angle_beta 90.53
_cell_angle_gamma 90.00
loop_
_space_group_symop_operation_xyz
'x,y,z'
'-x,-y,-z'
'-x,y+1/2,-z+1/2'
'x,-y+1/2,z+1/2'
loop_
_atom_site_label
_atom_site_type_symbol
_atom_site_fract_x
_atom_site_fract_y
_atom_site_fract_z
Y1 Y 0.001 0.106 0.171
Be1 Be 0.466 0.587 0.835
Fe1 Fe 0.000 0.000 0.500
Si1 Si 0.481 0.220 0.922
O1 O 0.202 0.088 0.668
O2 O 0.238 0.085 0.971
O3 O 0.309 0.652 0.696
O4 O 0.314 0.107 0.358
O5 O 0.324 0.713 0.951
# calculated total energy = -272.228 eV for the cell shown
# crystal system = monoclinic